No. 1
Computed, not measured: a relaxed structure of Ho2Fe3Os at the PBE level of DFT.

Output
energy of formation	-0.188	eV/atom
energy	-46.902	eV/f.u.

a b c (Å): 5.1538 5.1538 5.2056
angles (deg): 89.93 119.66 120.09
Last column: nearest neighbours and their distance in Å.
Sites, in units of the cell vectors:
1 Ho 0.7498 0.3749 0.1247  3 Os 3.02, 9 Fe 3.03-3.06, 4 Ho 3.16-3.21
2 Ho 0.2502 0.6251 0.8753  3 Os 3.02, 9 Fe 3.03-3.06, 4 Ho 3.16-3.21
3 Fe 0.5000 0.5000 0.5000  4 Fe 2.57-2.58, 2 Os 2.60
4 Fe 0.0000 0.0000 0.5000  4 Fe 2.57-2.58, 2 Os 2.60
5 Fe 0.5000 0.0000 0.5000  4 Fe 2.58, 2 Os 2.60
6 Os 0.0000 0.0000 0.0000  6 Fe 2.60

=====

No. 2
Computed, not measured: a relaxed structure of BaFe2Tc at the PBE level of DFT.

Output
ΔE to the lowest computed polymorph	0.000	eV per atom
energy of formation	0.456	eV/atom
energy	-27.389	eV/f.u.

a b c (Å): 4.1840 4.1840 6.3849
angles (deg): 70.87 70.87 60.01
Last column: nearest neighbours and their distance in Å.
Sites, in units of the cell vectors:
1 Ba 0.7500 0.7500 0.7500  8 Fe 3.34-3.53
2 Fe 0.9383 0.9383 0.1852  3 Tc 2.45, 3 Fe 2.53
3 Fe 0.5617 0.5617 0.3148  3 Tc 2.45, 3 Fe 2.53
4 Tc 0.2500 0.2500 0.2500  6 Fe 2.45

=====

No. 3
Computed, not measured: a relaxed structure of LiMg3Al3O8 at the PBE level of DFT.

Output
E_form (uncorrected)	-2.641	eV per atom
energy	-97.207	eV/f.u.

a b c (Å): 5.7013 5.7013 5.7880
angles (deg): 119.51 90.00 120.00
Last column: nearest neighbours and their distance in Å.
Sites, in units of the cell vectors:
1 Li 0.0000 0.0000 0.5000  6 O 1.99
2 Mg 0.0000 0.0000 0.0000  6 O 2.07-2.13
3 Mg 0.0000 0.5000 0.0000  6 O 2.07-2.13
4 Mg 0.5000 0.5000 0.0000  6 O 2.07-2.13
5 Al 0.5000 0.0000 0.5000  6 O 1.93-1.99
6 Al 0.5000 0.5000 0.5000  6 O 1.93-1.99
7 Al 0.0000 0.5000 0.5000  6 O 1.93-1.99
8 O 0.2545 0.5091 0.2636  3 Al 1.99, 3 Mg 2.07
9 O 0.7455 0.4909 0.7364  3 Al 1.99, 3 Mg 2.07
10 O 0.7549 0.5099 0.2791  2 Al 1.93, 1 Li 1.99, 2 Mg 2.13
11 O 0.2451 0.4901 0.7209  2 Al 1.93, 1 Li 1.99, 2 Mg 2.13
12 O 0.7549 0.0242 0.2791  2 Al 1.93, 1 Li 1.99, 2 Mg 2.13
13 O 0.2451 0.9758 0.7209  2 Al 1.93, 1 Li 1.99, 2 Mg 2.13
14 O 0.2692 0.0242 0.2791  2 Al 1.93, 1 Li 1.99, 2 Mg 2.13
15 O 0.7308 0.9758 0.7209  2 Al 1.93, 1 Li 1.99, 2 Mg 2.13